# 1
ZrTl: optimized geometry, PBE.

The structure in POSCAR format:
```
ZrTl
1.0
3.267 0.000 0.000
-1.633 2.829 0.000
0.000 0.000 5.170
Tl Zr
1 1
direct
0.000 0.000 0.000 Tl
0.667 0.333 0.500 Zr
```

Results
The calculation puts the total energy at -5.444 eV per atom. Its formation energy from the elements is 0.013 eV per atom. Its crystal system is hexagonal. For the size of the total moment, the calculation gives 0.000 μB per formula unit.

---

# 2
ZrTl: optimized geometry, PBE.

The structure in POSCAR format:
```
ZrTl
1.0
-7.902 -4.662 -0.261
1.909 -2.758 -8.544
4.261 -7.410 3.344
Zr Tl
8 8
direct
0.114 0.886 0.886 Zr
0.386 0.386 0.614 Zr
0.886 0.886 0.114 Zr
0.114 0.114 0.114 Zr
0.386 0.614 0.386 Zr
0.614 0.386 0.386 Zr
0.886 0.114 0.886 Zr
0.614 0.614 0.614 Zr
0.301 0.301 0.301 Tl
0.199 0.801 0.199 Tl
0.801 0.199 0.199 Tl
0.699 0.699 0.301 Tl
0.301 0.699 0.699 Tl
0.199 0.199 0.801 Tl
0.699 0.301 0.699 Tl
0.801 0.801 0.801 Tl
```

Results
The calculation puts the total energy at -4.576 eV per atom. Its formation energy from the elements is 0.881 eV per atom. Its crystal system is cubic. For the size of the total moment, the calculation gives 0.613 μB per formula unit.

---

# 3
ZrTl: optimized geometry, PBE.

The structure in POSCAR format:
```
ZrTl
1.0
-5.941 -8.805 -3.726
8.839 -3.387 -6.091
1.077 -1.816 2.573
Zr Tl
8 8
direct
0.410 0.865 0.500 Zr
0.365 0.090 0.000 Zr
0.135 0.410 0.500 Zr
0.635 0.910 0.000 Zr
0.090 0.635 0.000 Zr
0.910 0.365 0.000 Zr
0.865 0.590 0.500 Zr
0.590 0.135 0.500 Zr
0.900 0.832 0.000 Tl
0.332 0.600 0.500 Tl
0.400 0.332 0.500 Tl
0.100 0.168 0.000 Tl
0.168 0.900 0.000 Tl
0.600 0.668 0.500 Tl
0.668 0.400 0.500 Tl
0.832 0.100 0.000 Tl
```

Results
The calculation puts the total energy at -5.326 eV per atom. Its formation energy from the elements is 0.131 eV per atom. Its crystal system is tetragonal. For the size of the total moment, the calculation gives 0.000 μB per formula unit.

---

# 4
Zr5Tl: optimized geometry, PBE.

The structure in POSCAR format:
```
Zr5Tl
1.0
-3.907 4.187 1.825
0.819 -4.975 3.271
3.509 2.200 2.467
Zr Tl
5 1
direct
0.333 0.667 0.000 Zr
0.000 0.500 0.500 Zr
0.500 0.500 0.500 Zr
0.500 0.000 0.500 Zr
0.667 0.333 0.000 Zr
0.000 0.000 0.000 Tl
```

Results
For the energy above the most stable polymorph in this dataset, the calculation gives 533 meV/atom. The calculation puts the total energy at -7.037 eV per atom. Its formation energy from the elements is 0.481 eV per atom. Its crystal system is hexagonal. For the size of the total moment, the calculation gives 0.000 μB per formula unit.

---

# 5
ZrTl3: optimized geometry, PBE.

The structure in POSCAR format:
```
ZrTl3
1.0
3.444 0.000 0.000
0.000 4.577 0.000
0.000 0.000 6.537
Tl Zr
3 1
direct
0.500 0.500 0.765 Tl
0.000 0.000 0.500 Tl
0.500 0.500 0.235 Tl
0.000 0.000 0.000 Zr
```

Results
The calculation puts the total energy at -3.790 eV per atom. Its formation energy from the elements is 0.121 eV per atom. Its crystal system is orthorhombic. For the size of the total moment, the calculation gives 0.000 μB per formula unit.

---

# 6
ZrTl3: optimized geometry, PBE.

The structure in POSCAR format:
```
ZrTl3
1.0
-4.513 -2.292 -1.653
-0.856 -5.172 0.934
-3.683 -1.491 3.545
Tl Zr
3 1
direct
0.500 0.500 0.500 Tl
0.000 0.000 0.000 Tl
0.250 0.250 0.250 Tl
0.750 0.750 0.750 Zr
```

Results
The calculation puts the total energy at -3.555 eV per atom. Its formation energy from the elements is 0.357 eV per atom. Its crystal system is cubic. For the size of the total moment, the calculation gives 0.002 μB per formula unit.

---

# 7
ZrTl5: optimized geometry, PBE.

The structure in POSCAR format:
```
ZrTl5
1.0
3.040 -5.265 0.000
3.040 5.265 0.000
0.000 0.000 5.862
Tl Zr
5 1
direct
0.500 0.000 0.500 Tl
0.500 0.500 0.500 Tl
0.000 0.500 0.500 Tl
0.667 0.333 0.000 Tl
0.333 0.667 0.000 Tl
0.000 0.000 0.000 Zr
```

Results
For the energy above the most stable polymorph in this dataset, the calculation gives 466 meV/atom. The calculation puts the total energy at -2.869 eV per atom. Its formation energy from the elements is 0.528 eV per atom. Its crystal system is hexagonal. For the size of the total moment, the calculation gives 2.221 μB per formula unit.

---

# 8
Zr3Tl: optimized geometry, PBE.

The structure in POSCAR format:
```
Zr3Tl
1.0
5.494 0.000 0.000
0.000 5.494 0.000
0.000 0.000 5.494
Zr Tl
3 1
direct
0.000 0.500 0.000 Zr
0.500 0.000 0.000 Zr
0.000 0.000 0.500 Zr
0.000 0.000 0.000 Tl
```

Results
The calculation puts the total energy at -5.076 eV per atom. Its formation energy from the elements is 1.926 eV per atom. Its crystal system is cubic. For the size of the total moment, the calculation gives 4.813 μB per formula unit.

---

# 9
Zr4Tl: optimized geometry, PBE.

The structure in POSCAR format:
```
Zr4Tl
1.0
4.708 0.000 -1.375
-0.692 5.693 -2.370
-0.080 0.135 8.471
Zr Tl
8 2
direct
0.302 0.797 0.605 Zr
0.897 0.647 0.795 Zr
0.500 0.500 0.000 Zr
0.103 0.353 0.205 Zr
0.302 0.308 0.605 Zr
0.698 0.203 0.395 Zr
0.500 0.000 0.000 Zr
0.698 0.692 0.395 Zr
0.892 0.142 0.784 Tl
0.108 0.858 0.216 Tl
```

Results
For the energy above the most stable polymorph in this dataset, the calculation gives 80 meV/atom. The calculation puts the total energy at -7.288 eV per atom. Its formation energy from the elements is 0.024 eV per atom. Its crystal system is orthorhombic. For the size of the total moment, the calculation gives 0.000 μB per formula unit.

---

# 10
Zr5Tl4: optimized geometry, PBE.

The structure in POSCAR format:
```
Zr5Tl4
1.0
8.903 0.000 0.000
-4.452 7.711 0.000
0.000 0.000 6.053
Zr Tl
10 8
direct
0.667 0.333 0.500 Zr
0.000 0.294 0.750 Zr
0.333 0.667 0.000 Zr
0.294 0.294 0.250 Zr
0.000 0.706 0.250 Zr
0.294 0.000 0.750 Zr
0.333 0.667 0.500 Zr
0.706 0.706 0.750 Zr
0.706 0.000 0.250 Zr
0.667 0.333 0.000 Zr
0.000 0.626 0.750 Tl
0.000 0.000 0.500 Tl
0.000 0.000 0.000 Tl
0.374 0.000 0.250 Tl
0.374 0.374 0.750 Tl
0.000 0.374 0.250 Tl
0.626 0.626 0.250 Tl
0.626 0.000 0.750 Tl
```

Results
For the energy above the most stable polymorph in this dataset, the calculation gives 0 meV/atom. The calculation puts the total energy at -5.875 eV per atom. Its formation energy from the elements is -0.075 eV per atom. Its crystal system is hexagonal. For the size of the total moment, the calculation gives 0.000 μB per formula unit.

---

# 11
Zr3Tl: optimized geometry, PBE.

The structure in POSCAR format:
```
Zr3Tl
1.0
-4.357 -3.873 1.846
1.778 -4.826 3.296
-0.540 6.064 -0.599
Zr Tl
3 1
direct
0.410 0.744 0.667 Zr
0.923 0.257 0.666 Zr
0.509 0.500 0.009 Zr
0.991 0.000 0.991 Tl
```

Results
The calculation puts the total energy at -7.026 eV per atom. Its formation energy from the elements is -0.023 eV per atom. Its crystal system is monoclinic. For the size of the total moment, the calculation gives 0.000 μB per formula unit.

---

# 12
Zr4Tl3: optimized geometry, PBE.

The structure in POSCAR format:
```
Zr4Tl3
1.0
5.859 0.000 0.000
-2.930 5.074 0.000
0.000 0.000 5.462
Tl Zr
3 4
direct
0.500 0.000 0.000 Tl
0.500 0.500 0.000 Tl
0.000 0.500 0.000 Tl
0.000 0.000 0.264 Zr
0.667 0.333 0.500 Zr
0.000 0.000 0.736 Zr
0.333 0.667 0.500 Zr
```

Results
For the energy above the most stable polymorph in this dataset, the calculation gives 75 meV/atom. The calculation puts the total energy at -5.899 eV per atom. Its formation energy from the elements is 0.000 eV per atom. Its crystal system is hexagonal. For the size of the total moment, the calculation gives 0.000 μB per formula unit.

---

# 13
ZrTl5: optimized geometry, PBE.

The structure in POSCAR format:
```
ZrTl5
1.0
1.712 5.954 -0.440
-1.712 5.954 -0.440
0.000 1.978 8.176
Tl Zr
5 1
direct
0.689 0.689 0.653 Tl
0.031 0.031 0.028 Tl
0.415 0.415 0.754 Tl
0.997 0.997 0.421 Tl
0.273 0.273 0.307 Tl
0.762 0.762 0.003 Zr
```

Results
For the energy above the most stable polymorph in this dataset, the calculation gives 49 meV/atom. The calculation puts the total energy at -3.285 eV per atom. Its formation energy from the elements is 0.111 eV per atom. Its crystal system is monoclinic. For the size of the total moment, the calculation gives 0.000 μB per formula unit.

---

# 14
Zr4Tl3: optimized geometry, PBE.

The structure in POSCAR format:
```
Zr4Tl3
1.0
3.198 0.000 0.000
0.000 7.389 -0.540
-1.599 -2.909 7.487
Zr Tl
4 3
direct
0.136 0.802 0.271 Zr
0.431 0.591 0.861 Zr
0.864 0.198 0.729 Zr
0.569 0.409 0.139 Zr
0.000 0.000 0.000 Tl
0.785 0.723 0.569 Tl
0.215 0.277 0.431 Tl
```

Results
For the energy above the most stable polymorph in this dataset, the calculation gives 143 meV/atom. The calculation puts the total energy at -5.831 eV per atom. Its formation energy from the elements is 0.067 eV per atom. Its crystal system is monoclinic. For the size of the total moment, the calculation gives 0.000 μB per formula unit.

---

# 15
ZrTl: optimized geometry, PBE.

The structure in POSCAR format:
```
ZrTl
1.0
3.439 0.000 -0.029
0.000 4.532 0.000
-1.765 0.000 6.125
Zr Tl
2 2
direct
0.833 0.250 0.649 Zr
0.167 0.750 0.351 Zr
0.446 0.750 0.844 Tl
0.554 0.250 0.156 Tl
```

Results
The calculation puts the total energy at -5.427 eV per atom. Its formation energy from the elements is 0.031 eV per atom. Its crystal system is monoclinic. For the size of the total moment, the calculation gives 0.000 μB per formula unit.

---

# 16
Zr3Tl: optimized geometry, PBE.

The structure in POSCAR format:
```
Zr3Tl
1.0
-1.797 -3.762 4.761
5.940 -0.258 -2.168
1.421 3.691 3.453
Tl Zr
2 6
direct
0.333 0.667 0.250 Tl
0.667 0.333 0.750 Tl
0.833 0.666 0.250 Zr
0.167 0.334 0.750 Zr
0.334 0.167 0.250 Zr
0.666 0.833 0.750 Zr
0.167 0.833 0.750 Zr
0.833 0.167 0.250 Zr
```

Results
The calculation puts the total energy at -7.088 eV per atom. Its formation energy from the elements is -0.086 eV per atom. Its crystal system is hexagonal. For the size of the total moment, the calculation gives 0.000 μB per formula unit.

---

# 17
Zr3Tl: optimized geometry, PBE.

The structure in POSCAR format:
```
Zr3Tl
1.0
4.487 0.000 0.000
0.000 4.487 0.000
0.000 0.000 4.487
Tl Zr
1 3
direct
0.000 0.000 0.000 Tl
0.500 0.500 0.000 Zr
0.000 0.500 0.500 Zr
0.500 0.000 0.500 Zr
```

Results
The calculation puts the total energy at -7.111 eV per atom. Its formation energy from the elements is -0.109 eV per atom. Its crystal system is cubic. For the size of the total moment, the calculation gives 0.000 μB per formula unit.

---

# 18
ZrTl3: optimized geometry, PBE.

The structure in POSCAR format:
```
ZrTl3
1.0
3.359 -0.022 0.000
-1.481 3.015 0.000
0.000 0.000 10.780
Tl Zr
3 1
direct
0.500 0.500 0.750 Tl
0.000 0.000 0.484 Tl
0.000 0.000 0.016 Tl
0.500 0.500 0.250 Zr
```

Results
The calculation puts the total energy at -3.776 eV per atom. Its formation energy from the elements is 0.136 eV per atom. Its crystal system is orthorhombic. For the size of the total moment, the calculation gives 0.000 μB per formula unit.

---

# 19
ZrTl4: optimized geometry, PBE.

The structure in POSCAR format:
```
ZrTl4
1.0
-3.456 3.456 3.456
3.456 -3.456 3.456
3.456 3.456 -3.456
Tl Zr
4 1
direct
0.000 0.500 0.000 Tl
0.500 0.500 0.500 Tl
0.500 0.000 0.000 Tl
0.000 0.000 0.500 Tl
0.000 0.000 0.000 Zr
```

Results
For the energy above the most stable polymorph in this dataset, the calculation gives 0 meV/atom. The calculation puts the total energy at -3.438 eV per atom. Its formation energy from the elements is 0.164 eV per atom. Its crystal system is cubic. For the size of the total moment, the calculation gives 0.000 μB per formula unit.

---

# 20
TmU4: optimized geometry, PBE.

The structure in POSCAR format:
```
TmU4
1.0
5.299 0.000 0.000
0.000 5.299 0.000
0.000 0.000 5.299
U Tm
4 1
direct
0.500 0.500 0.000 U
0.500 0.000 0.500 U
0.000 0.000 0.000 U
0.000 0.500 0.500 U
0.500 0.500 0.500 Tm
```

Results
The calculation puts the total energy at -7.966 eV per atom. Its formation energy from the elements is 1.959 eV per atom. Its crystal system is cubic. For the size of the total moment, the calculation gives 10.815 μB per formula unit.

---

# 21
TmUV: optimized geometry, PBE.

The structure in POSCAR format:
```
TmUV
1.0
-5.775 -1.374 -1.440
-2.905 -4.375 2.869
-5.555 4.718 4.821
U V Tm
4 4 4
direct
0.622 0.500 0.756 U
0.872 0.000 0.256 U
0.878 0.500 0.244 U
0.128 0.000 0.744 U
0.551 0.898 0.500 V
0.801 0.398 0.000 V
0.199 0.602 0.000 V
0.949 0.102 0.500 V
0.588 0.000 0.823 Tm
0.162 0.500 0.677 Tm
0.338 0.500 0.323 Tm
0.412 0.000 0.177 Tm
```

Results
The calculation puts the total energy at -7.616 eV per atom. Its formation energy from the elements is 0.677 eV per atom. Its crystal system is orthorhombic. For the size of the total moment, the calculation gives 0.149 μB per formula unit.

---

# 22
TmUZn17: optimized geometry, PBE.

The structure in POSCAR format:
```
TmUZn17
1.0
6.727 0.030 0.827
0.735 6.686 0.827
0.033 0.030 6.777
Zn Tm U
17 1 1
direct
0.703 0.298 0.999 Zn
0.646 0.161 0.646 Zn
0.838 0.353 0.353 Zn
0.100 0.100 0.100 Zn
0.499 0.002 0.002 Zn
0.002 0.002 0.499 Zn
0.161 0.646 0.646 Zn
0.298 0.999 0.703 Zn
0.002 0.499 0.002 Zn
0.353 0.353 0.838 Zn
0.999 0.703 0.298 Zn
0.703 0.999 0.298 Zn
0.353 0.838 0.353 Zn
0.999 0.298 0.703 Zn
0.899 0.899 0.899 Zn
0.646 0.646 0.161 Zn
0.298 0.703 0.999 Zn
0.664 0.664 0.664 Tm
0.336 0.336 0.336 U
```

Results
The calculation puts the total energy at -2.098 eV per atom. Its formation energy from the elements is -0.129 eV per atom. Its crystal system is trigonal. For the size of the total moment, the calculation gives 2.859 μB per formula unit.

---

# 23
Tm2UZn: optimized geometry, PBE.

The structure in POSCAR format:
```
Tm2UZn
1.0
-1.576 -2.517 -1.121
1.220 -1.703 -2.385
5.145 -7.998 6.229
U Tm Zn
1 2 1
direct
0.000 0.000 0.000 U
0.904 0.904 0.288 Tm
0.096 0.096 0.712 Tm
0.500 0.500 0.500 Zn
```

Results
The calculation puts the total energy at -5.034 eV per atom. Its formation energy from the elements is 0.343 eV per atom. Its crystal system is trigonal. For the size of the total moment, the calculation gives 2.156 μB per formula unit.

---

# 24
TmZr2U: optimized geometry, PBE.

The structure in POSCAR format:
```
TmZr2U
1.0
3.161 0.000 0.000
1.581 2.738 0.000
1.581 0.913 11.547
Zr Tm U
2 1 1
direct
0.910 0.910 0.269 Zr
0.090 0.090 0.731 Zr
0.000 0.000 0.000 Tm
0.500 0.500 0.500 U
```

Results
The calculation puts the total energy at -7.824 eV per atom. Its formation energy from the elements is 0.390 eV per atom. Its crystal system is trigonal. For the size of the total moment, the calculation gives 1.414 μB per formula unit.

---

# 25
TmV2: optimized geometry, PBE.

The structure in POSCAR format:
```
TmV2
1.0
3.285 0.000 0.000
0.000 3.285 0.000
-1.642 -1.642 5.134
Tm V
1 2
direct
0.000 0.000 0.000 Tm
0.704 0.704 0.408 V
0.296 0.296 0.592 V
```

Results
The calculation puts the total energy at -7.369 eV per atom. Its formation energy from the elements is 0.200 eV per atom. Its crystal system is tetragonal. For the size of the total moment, the calculation gives 0.000 μB per formula unit.

---

# 26
TmV4: optimized geometry, PBE.

The structure in POSCAR format:
```
TmV4
1.0
4.631 0.000 0.000
0.000 4.631 0.000
0.000 0.000 4.631
V Tm
4 1
direct
0.000 0.500 0.500 V
0.000 0.000 0.000 V
0.500 0.000 0.500 V
0.500 0.500 0.000 V
0.500 0.500 0.500 Tm
```

Results
The calculation puts the total energy at -6.173 eV per atom. Its formation energy from the elements is 2.016 eV per atom. Its crystal system is cubic. For the size of the total moment, the calculation gives 0.730 μB per formula unit.